Below is an optimized crystal structure of Sc2FePb, with properties calculated at the GGA-PBE level.

POSCAR file:
```
Sc2FePb
1.0
-1.885 2.453 4.306
1.885 -2.453 4.306
1.885 2.453 -4.306
Sc Fe Pb
2 1 1
Cartesian
0.000 0.000 1.813
0.000 0.000 6.799
1.885 0.000 0.000
0.000 2.453 0.000
```

Summary:
* electronic total energy: -6.283 eV per atom
* calculated density: 7.36 g/cm³
* space group: Immm, No. 71
* energy of formation: -0.07 eV per atom